Version w
# Tb3TeC

A relaxed Tb3TeC crystal (GGA-PBE, Alexandria via LeMat-Bulk).

Cell: 12.632 13.525 6.306 Å, 90.00 105.89 90.00°
Space group C2/c (No. 15)
Symmetry-distinct sites (fractional):
1 Tb 0.079 0.158 0.036 x8
2 Tb 0.098 0.401 0.055 x8
3 Tb 0.144 0.297 0.583 x8
4 Te 0.169 0.072 0.556 x8
5 C 0.000 0.283 0.250 x4
6 C 0.000 0.284 0.750 x4

Mass density, g/cm³: 7.9
DOS(E_F), states/eV/atom: 0.79
Volume, A^3/atom: 25.9

---

Version x
# Tb3TeC

A relaxed Tb3TeC crystal (GGA-PBE, Alexandria via LeMat-Bulk).

Cell: 4.922 4.922 4.922 Å, 90.00 90.00 90.00°
Space group Pm-3m (No. 221)
Symmetry-distinct sites (fractional):
1 Tb 0.000 0.000 0.500 x3
2 Te 0.500 0.500 0.500 x1
3 C 0.000 0.000 0.000 x1

Mass density, g/cm³: 8.6
DOS(E_F), states/eV/atom: 0.70
Volume, A^3/atom: 23.9

---

Which is the most stable structure? version w is the most stable.

---

Version w
# TbThC

A relaxed TbThC crystal (GGA-PBE, Alexandria via LeMat-Bulk).

Cell: 3.6262 3.6262 18.9916 Å, 90.00 90.00 120.00°
Space group R3m (No. 160, hexagonal axes)
Symmetry-distinct sites (fractional):
1 Tb 0.0000 0.0000 0.0000 x3
2 Th 0.0000 0.0000 0.4810 x3
3 C 0.0000 0.0000 0.7383 x3

Mass density, g/cm³: 9.3
DOS(E_F), states/eV/atom: 0.96
Volume, A^3/atom: 24.0

---

Version x
# TbThC

A relaxed TbThC crystal (GGA-PBE, Alexandria via LeMat-Bulk).

Cell: 6.303 3.604 6.571 Å, 90.00 106.45 90.00°
Space group P2_1/m (No. 11)
Symmetry-distinct sites (fractional):
1 Tb 0.019 0.250 0.282 x2
2 Th 0.488 0.250 0.731 x2
3 C 0.254 0.750 0.503 x2

Mass density, g/cm³: 9.3
DOS(E_F), states/eV/atom: 0.97
Volume, A^3/atom: 23.9

---

Which is the most stable structure? version w is the most stable.

---

Version w
# TbThC2

A relaxed TbThC2 crystal (GGA-PBE, Alexandria via LeMat-Bulk).

Cell: 3.6656 3.6656 18.3895 Å, 90.00 90.00 120.00°
Space group R3m (No. 160, hexagonal axes)
Symmetry-distinct sites (fractional):
1 Tb 0.0000 0.0000 0.0000 x3
2 Th 0.0000 0.0000 0.8295 x3
3 C 0.0000 0.0000 0.2422 x3
4 C 0.0000 0.0000 0.4139 x3

Mass density, g/cm³: 9.7
DOS(E_F), states/eV/atom: 1.05
Volume, A^3/atom: 17.8

---

Version x
# TbThC2

A relaxed TbThC2 crystal (GGA-PBE, Alexandria via LeMat-Bulk).

Cell: 3.7157 3.7157 17.9853 Å, 90.00 90.00 120.00°
Space group R-3m (No. 166, hexagonal axes)
Symmetry-distinct sites (fractional):
1 Tb 0.0000 0.0000 0.0000 x3
2 Th 0.0000 0.0000 0.5000 x3
3 C 0.0000 0.0000 0.2488 x6

Mass density, g/cm³: 9.6
DOS(E_F), states/eV/atom: 1.61
Volume, A^3/atom: 17.9

---

Which is the most stable structure? version x is the most stable.

---

Version w
# TbU2C3

A relaxed TbU2C3 crystal (GGA-PBE, Alexandria via LeMat-Bulk).

Cell: 3.546 5.063 10.398 Å, 90.00 90.00 90.00°
Space group Immm (No. 71)
Symmetry-distinct sites (fractional):
1 Tb 0.000 0.000 0.000 x2
2 U 0.000 0.000 0.336 x4
3 C 0.000 0.500 0.000 x2
4 C 0.000 0.500 0.313 x4

Mass density, g/cm³: 11.9
DOS(E_F), states/eV/atom: 1.19
Volume, A^3/atom: 15.6

---

Version x
# TbU2C3

A relaxed TbU2C3 crystal (GGA-PBE, Alexandria via LeMat-Bulk).

Cell: 6.122 3.284 9.087 Å, 90.00 90.00 90.00°
Space group Pmma (No. 51)
Symmetry-distinct sites (fractional):
1 Tb 0.250 0.000 0.072 x2
2 U 0.250 0.000 0.715 x2
3 U 0.250 0.500 0.392 x2
4 C 0.000 0.000 0.500 x2
5 C 0.006 0.500 0.808 x4

Mass density, g/cm³: 12.2
DOS(E_F), states/eV/atom: 1.17
Volume, A^3/atom: 15.2

---

Which is the most stable structure? version w is the most stable.